Here is an optimized crystal structure of HfHgIN2 from the Alexandria database. Energies are from PBE.

Lattice parameters (Å, degrees): 4.205 4.205 5.555 90.00 90.00 90.00
Space group P4/mmm (No. 123)
Symmetry-distinct sites (fractional):
Hf: 0.000 0.000 0.000 [1 per cell]
Hg: 0.500 0.500 0.000 [1 per cell]
I: 0.000 0.000 0.500 [1 per cell]
N: 0.000 0.500 0.500 [2 per cell]

Total magnetization = 0.0 μB per cell
Energy above the most stable polymorph in this dataset = 1449 meV per atom
DOS at the Fermi energy = 3.8 states/eV/f.u.
Energy relative to the elements, uncorrected = 173 kJ per mole of atoms